AsBrN2F (PBE-GGA, relaxed); symmetry = P4/mmm; polymorph energy (0 for the lowest one) = 0.772 eV/atom
1.0
4.156 0.000 0.000
0.000 4.156 0.000
0.000 0.000 4.048
As N F Br
1 2 1 1
direct
0.500 0.500 0.500 As
0.500 0.000 0.000 N
0.000 0.500 0.000 N
0.000 0.000 0.500 F
0.000 0.000 0.000 Br

---

ThTc2Ge2P (PBE-GGA, relaxed); ΔE_f = -223 kJ/mol of formula units; symmetry = P4/mmm
1.0
-4.194 -1.503 -0.329
0.522 -2.290 3.800
-1.815 4.426 2.916
Ge Tc P Th
2 2 1 1
direct
0.500 0.500 0.277 Ge
0.500 0.500 0.723 Ge
0.500 0.000 0.000 Tc
0.000 0.500 0.000 Tc
0.000 0.000 0.000 P
0.000 0.000 0.500 Th

---

ZnCoI2N (PBE-GGA, relaxed); symmetry = P4/mmm; polymorph energy (0 for the lowest one) = 0.716 eV/atom
1.0
5.685 0.000 0.000
0.000 5.685 0.000
0.000 0.000 3.698
Zn I Co N
1 2 1 1
direct
0.000 0.000 0.000 Zn
0.500 0.000 0.000 I
0.000 0.500 0.000 I
0.500 0.500 0.500 Co
0.000 0.000 0.500 N

---

Magnetic moment values, unit μB per cell, following the record order: 0.00, 0.00, 2.46.